The following is a PBE calculation of a relaxed Nd4CdFe crystal, from Alexandria via LeMat-Bulk.

Calculated values
For the total energy, the calculation gives -4.77 eV per atom. As for the space group: No. 12. As for the formation energy: -0.027 eV per atom.

Lattice parameters (Å, degrees): 9.1724 9.1724 5.9843 108.72 108.72 46.88
With the nearest neighbours (Å) after each atom.
Atoms (fractional coordinates):
Nd (0.1213, 0.6350, 0.3816)  2 Fe 2.75-3.05
Nd (0.2296, 0.7704, 0.0000)  2 Fe 2.75
Nd (0.3160, 0.3160, 0.8060)  1 Fe 3.24, 6 Nd 3.51-3.59, 2 Cd 3.52-3.61
Nd (0.3650, 0.8787, 0.6184)  2 Fe 2.75-3.05
Nd (0.6350, 0.1213, 0.3816)  2 Fe 2.75-3.05
Nd (0.6840, 0.6840, 0.1940)  1 Fe 3.24, 6 Nd 3.51-3.59, 2 Cd 3.52-3.61
Nd (0.7704, 0.2296, 0.0000)  2 Fe 2.75
Nd (0.8787, 0.3650, 0.6184)  2 Fe 2.75-3.05
Cd (0.1933, 0.1933, 0.1936)  12 Nd 3.47-3.68
Cd (0.8067, 0.8067, 0.8064)  12 Nd 3.47-3.68
Fe (0.4858, 0.4858, 0.6684)  1 Fe 2.23
Fe (0.5142, 0.5142, 0.3316)  1 Fe 2.23


The following is a PBE calculation of a relaxed MgSe crystal, from Alexandria via LeMat-Bulk.

Calculated values
As for the formation energy without anion corrections: -1.13 eV/atom. For the total energy, the calculation gives -3.67 eV per atom. As for the space group: No. 31.

Lattice parameters (Å, degrees): 12.0270 4.0764 7.3057 90.00 90.00 90.00
With the nearest neighbours (Å) after each atom.
Atoms (fractional coordinates):
Mg (0.0000, 0.0466, 0.0000)  4 Se 2.59-2.63
Mg (0.2097, 0.3571, 0.2206)  4 Se 2.58-2.65
Mg (0.2903, 0.6429, 0.7206)  4 Se 2.58-2.65
Mg (0.5000, 0.9534, 0.5000)  4 Se 2.59-2.63
Mg (0.7097, 0.6429, 0.7206)  4 Se 2.58-2.65
Mg (0.7903, 0.3571, 0.2206)  4 Se 2.58-2.65
Se (0.0000, 0.5468, 0.2277)  4 Mg 2.63-2.64
Se (0.1995, 0.1442, 0.8786)  4 Mg 2.58-2.65
Se (0.3005, 0.8558, 0.3786)  4 Mg 2.58-2.65
Se (0.5000, 0.4532, 0.7277)  4 Mg 2.63-2.64
Se (0.6995, 0.8558, 0.3786)  4 Mg 2.58-2.65
Se (0.8005, 0.1442, 0.8786)  4 Mg 2.58-2.65


The following is a PBE calculation of a relaxed Ac6MgTl crystal, from Alexandria via LeMat-Bulk.

Calculated values
For the total energy, the calculation gives -3.68 eV per atom. As for the space group: No. 139. As for the formation energy: -0.101 eV per atom.

Lattice parameters (Å, degrees): 10.6493 10.6493 10.6493 148.92 148.92 44.54
With the nearest neighbours (Å) after each atom.
Atoms (fractional coordinates):
Ac (0.1092, 0.6092, 0.5000)  2 Tl 3.57, 2 Mg 3.57, 4 Ac 3.97-3.99
Ac (0.2494, 0.2494, 0.0000)  12 Ac 3.97-4.04
Ac (0.3908, 0.8908, 0.5000)  2 Tl 3.57, 2 Mg 3.57, 4 Ac 3.97-3.99
Ac (0.6092, 0.1092, 0.5000)  2 Tl 3.57, 2 Mg 3.57, 4 Ac 3.97-3.99
Ac (0.7506, 0.7506, 0.0000)  12 Ac 3.97-4.04
Ac (0.8908, 0.3908, 0.5000)  2 Tl 3.57, 2 Mg 3.57, 4 Ac 3.97-3.99
Mg (0.0000, 0.0000, 0.0000)  8 Ac 3.57
Tl (0.5000, 0.5000, 0.0000)  8 Ac 3.57